! NaNi4As12 | Alexandria via LeMat-Bulk | PBE-GGA | optimized geometry; values from VASP
! formation energy from the elements	-0.224	eV per atom
! uncorrected energy	-84.04	eV per formula unit
&SYSTEM
  ibrav = 0, nat = 17, ntyp = 3
/
ATOMIC_SPECIES
Na 22.99 Na.upf
Ni 58.69 Ni.upf
As 74.92 As.upf
ATOMIC_POSITIONS crystal
Na 0.000 0.000 0.000
Ni 0.000 0.000 0.500
Ni 0.000 0.500 0.000
Ni 0.500 0.000 0.000
Ni 0.500 0.500 0.500
As 0.152 0.347 0.500
As 0.152 0.653 0.805
As 0.195 0.848 0.347
As 0.347 0.195 0.848
As 0.347 0.500 0.152
As 0.500 0.152 0.347
As 0.500 0.848 0.653
As 0.653 0.500 0.848
As 0.653 0.805 0.152
As 0.805 0.152 0.653
As 0.848 0.347 0.195
As 0.848 0.653 0.500
CELL_PARAMETERS angstrom
-4.233 4.233 4.233
4.233 -4.233 4.233
4.233 4.233 -4.233